Density functional theory data (PBE-GGA) for a relaxed KTlO2 crystal.

a = 3.474 Å, b = 3.474 Å, c = 6.661 Å
α = 74.88°, β = 74.88°, γ = 60.00°
Sites, in units of the cell vectors:
K 0.497 0.497 0.510
Tl 0.668 0.668 0.997
O 0.066 0.066 0.801
O 0.269 0.269 0.192

Values from the calculation:
The density is 6.9 g cm⁻³. The formation energy from raw total energies is -1.0125 eV per atom.